No. 1
! Cs2Hf2Tl (PBE, relaxed); values from VASP
! Energy of formation from the pure elements, meV/atom: 1226
! Size of the total moment, μB/f.u.: 0.32
! Offset from the most stable computed form, kJ/mol of formula units: 231
! V, Å³/cell: 450
! Fermi-level density of states, states/eV per cell: 10.48
&SYSTEM
  ibrav = 0, nat = 10, ntyp = 3
/
ATOMIC_SPECIES
Cs 132.91 Cs.upf
Hf 178.49 Hf.upf
Tl 204.38 Tl.upf
CELL_PARAMETERS angstrom
11.610 0.000 0.000
0.000 11.610 0.000
0.000 0.000 3.337
ATOMIC_POSITIONS crystal
Cs 0.206 0.294 0.000
Cs 0.294 0.794 0.000
Cs 0.706 0.206 0.000
Cs 0.794 0.706 0.000
Hf 0.079 0.579 0.500
Hf 0.421 0.079 0.500
Hf 0.579 0.921 0.500
Hf 0.921 0.421 0.500
Tl 0.000 0.000 0.000
Tl 0.500 0.500 0.000

---

No. 2
! CsHf3Tl (PBE, relaxed); values from VASP
! Energy of formation from the pure elements, meV/atom: 1587
! Size of the total moment, μB/f.u.: 0.00
! Offset from the most stable computed form, kJ/mol of formula units: 0
! V, Å³/cell: 169
! Fermi-level density of states, states/eV per cell: 8.62
&SYSTEM
  ibrav = 0, nat = 5, ntyp = 3
/
ATOMIC_SPECIES
Cs 132.91 Cs.upf
Hf 178.49 Hf.upf
Tl 204.38 Tl.upf
CELL_PARAMETERS angstrom
5.528 0.000 0.000
0.000 5.528 0.000
0.000 0.000 5.528
ATOMIC_POSITIONS crystal
Cs 0.000 0.000 0.000
Hf 0.000 0.500 0.500
Hf 0.500 0.000 0.500
Hf 0.500 0.500 0.000
Tl 0.500 0.500 0.500

---

No. 3
! CsHf2Tl (PBE, relaxed); values from VASP
! Energy of formation from the pure elements, meV/atom: 1160
! Size of the total moment, μB/f.u.: 0.00
! Offset from the most stable computed form, kJ/mol of formula units: 37
! V, Å³/cell: 277
! Fermi-level density of states, states/eV per cell: 7.86
&SYSTEM
  ibrav = 0, nat = 8, ntyp = 3
/
ATOMIC_SPECIES
Cs 132.91 Cs.upf
Hf 178.49 Hf.upf
Tl 204.38 Tl.upf
CELL_PARAMETERS angstrom
-2.519 2.519 10.904
2.519 -2.519 10.904
2.519 2.519 -10.904
ATOMIC_POSITIONS crystal
Cs 0.000 0.000 0.000
Cs 0.750 0.250 0.500
Hf 0.249 0.625 0.124
Hf 0.375 0.499 0.624
Hf 0.501 0.125 0.876
Hf 0.875 0.751 0.376
Tl 0.250 0.750 0.500
Tl 0.500 0.500 0.000